VASP calculation (PBE) on a relaxed HfSc2Pb crystal.

Results
Energy above the most stable polymorph in this dataset, meV/atom: 19

a = 4.545 Å, b = 4.545 Å, c = 4.436 Å
α = 90.00°, β = 90.00°, γ = 90.00°
Element x y z (fractional)
Hf1 0.000 0.000 0.000
Sc1 0.000 0.500 0.500
Sc2 0.500 0.000 0.500
Pb1 0.500 0.500 0.000



VASP calculation (PBE) on a relaxed CeThCdRu2 crystal.

a = 6.784 Å, b = 6.784 Å, c = 9.342 Å
α = 96.77°, β = 96.77°, γ = 36.02°
Element x y z (fractional)
Ce1 0.053 0.053 0.231
Ce2 0.947 0.947 0.769
Th1 0.338 0.338 0.396
Th2 0.662 0.662 0.604
Cd1 0.333 0.333 0.992
Cd2 0.667 0.667 0.008
Ru1 0.122 0.122 0.808
Ru2 0.312 0.312 0.687
Ru3 0.688 0.688 0.313
Ru4 0.878 0.878 0.192



VASP calculation (PBE) on a relaxed CsCu2RhBr8 crystal.

Results
E_form (uncorrected), eV per formula unit: -6.44

a = 6.411 Å, b = 6.411 Å, c = 10.397 Å
α = 96.63°, β = 96.63°, γ = 68.51°
Element x y z (fractional)
Cs1 0.000 0.000 0.000
Cu1 0.374 0.374 0.691
Cu2 0.626 0.626 0.309
Rh1 0.000 0.000 0.500
Br1 0.214 0.733 0.323
Br2 0.235 0.235 0.491
Br3 0.267 0.786 0.677
Br4 0.338 0.338 0.907
Br5 0.662 0.662 0.093
Br6 0.733 0.214 0.323
Br7 0.765 0.765 0.509
Br8 0.786 0.267 0.677



VASP calculation (PBE) on a relaxed Mg3NiSn crystal.

Results
Energy above the most stable polymorph in this dataset, meV/atom: 186

a = 4.833 Å, b = 4.833 Å, c = 4.833 Å
α = 90.00°, β = 90.00°, γ = 90.00°
Element x y z (fractional)
Mg1 0.000 0.000 0.500
Mg2 0.000 0.500 0.000
Mg3 0.500 0.000 0.000
Ni1 0.000 0.000 0.000
Sn1 0.500 0.500 0.500



VASP calculation (PBE) on a relaxed CeDy3Er2As6 crystal.

a = 7.135 Å, b = 7.135 Å, c = 7.143 Å
α = 99.59°, β = 99.59°, γ = 119.99°
Element x y z (fractional)
Ce1 0.000 0.000 0.000
Dy1 0.166 0.834 0.500
Dy2 0.500 0.500 0.500
Dy3 0.834 0.166 0.500
Er1 0.333 0.667 0.000
Er2 0.667 0.333 0.000
As1 0.083 0.419 0.250
As2 0.253 0.253 0.752
As3 0.419 0.083 0.250
As4 0.581 0.917 0.750
As5 0.747 0.747 0.248
As6 0.917 0.581 0.750



VASP calculation (PBE) on a relaxed Be2SiIr crystal.

Results
E_form (uncorrected), eV per formula unit: -1.45

a = 2.980 Å, b = 2.980 Å, c = 4.898 Å
α = 90.00°, β = 90.00°, γ = 90.00°
Element x y z (fractional)
Be1 0.000 0.000 0.247
Be2 0.000 0.000 0.753
Si1 0.500 0.500 0.000
Ir1 0.500 0.500 0.500



VASP calculation (PBE) on a relaxed Cs3LaIn2I9 crystal.

Results
E_form (uncorrected), eV per formula unit: -17.60

a = 9.016 Å, b = 9.016 Å, c = 11.068 Å
α = 90.00°, β = 90.00°, γ = 120.00°
Element x y z (fractional)
Cs1 0.000 0.000 0.000
Cs2 0.333 0.667 0.670
Cs3 0.667 0.333 0.330
La1 0.000 0.000 0.500
In1 0.333 0.667 0.148
In2 0.667 0.333 0.852
I1 0.000 0.500 0.000
I2 0.166 0.333 0.338
I3 0.166 0.834 0.338
I4 0.333 0.166 0.662
I5 0.500 0.000 0.000
I6 0.500 0.500 0.000
I7 0.667 0.834 0.338
I8 0.834 0.166 0.662
I9 0.834 0.667 0.662



VASP calculation (PBE) on a relaxed Nd5Tl2Ru crystal.

Results
Energy above the most stable polymorph in this dataset, meV/atom: 178

a = 6.860 Å, b = 6.860 Å, c = 6.860 Å
α = 116.10°, β = 116.10°, γ = 96.90°
Element x y z (fractional)
Nd1 0.000 0.000 0.000
Nd2 0.025 0.025 0.505
Nd3 0.025 0.520 0.000
Nd4 0.520 0.025 0.000
Nd5 0.520 0.520 0.495
Tl1 0.028 0.528 0.500
Tl2 0.528 0.028 0.500
Ru1 0.655 0.655 0.000



| no. | E_tot (eV per atom) |
| --- | --- |
| 1 | -6.714 |
| 2 | -6.786 |
| 3 | -3.018 |
| 4 | -2.847 |
| 5 | -6.245 |
| 6 | -5.797 |
| 7 | -2.968 |
| 8 | -4.863 |